# 1
MnRu2 | PBE | relaxed

Computed properties:
Formation enthalpy at 0 K, eV/atom: 0.086
Calculated volume, Å³ per atom: 13.45
Space-group type: Cmcm (63)
Mass density, g cm⁻³: 10.580
DOS(E_F), states/eV/f.u.: 3.2

Cell lengths 3.744, 6.019, 3.768 Å; angles 90.00, 90.00, 71.88 degrees
Site moments in Bohr magnetons follow the coordinates.
Fractional positions:
1 Ru 0.247 0.505 0.250  -0.33
2 Ru 0.753 0.495 0.750  -0.33
3 Ru 0.584 0.831 0.250  -0.29
4 Ru 0.416 0.169 0.750  -0.29
5 Mn 0.087 0.827 0.750  2.41
6 Mn 0.913 0.173 0.250  2.41

---

# 2
PrHo8Er4 | PBE | relaxed

Computed properties:
Formation enthalpy at 0 K, eV/atom: 0.203
Calculated volume, Å³ per atom: 31.51
Space-group type: R-3m (166)
Mass density, g cm⁻³: 8.631
DOS(E_F), states/eV/f.u.: 14.8

Cell lengths 7.251, 7.251, 9.923 Å; angles 90.00, 111.43, 120.00 degrees
Fractional positions:
1 Ho 0.563 0.782 0.345
2 Ho 0.946 0.195 0.697
3 Ho 0.054 0.805 0.303
4 Ho 0.946 0.751 0.697
5 Ho 0.498 0.249 0.303
6 Ho 0.054 0.249 0.303
7 Ho 0.502 0.751 0.697
8 Ho 0.437 0.218 0.655
9 Er 0.000 0.500 0.000
10 Er 0.000 0.000 0.000
11 Er 0.500 0.000 0.000
12 Er 0.500 0.500 0.000
13 Pr 0.000 0.500 0.500

---

Among the records above, which one has the lowest DOS(E_F)?
MnRu2

---

The lowest mass density belongs to which entry?
PrHo8Er4

---

Which formula does entry 2 have?
PrHo8Er4